DFT (PBE with a Hubbard U) results for a geometry-optimized V2ReTeO structure.

abc: 5.2534 4.9821 5.2534
angles: 90.00 90.00 90.00
Each line ends with the local moment (μB).
Atoms (fractional coordinates):
Re 0.0000 0.5000 0.0000  2.52
Te 0.0000 0.0000 0.0000  0.02
O 0.5000 0.5000 0.5000  0.89
V 0.0000 0.0000 0.5000  -1.21
V 0.5000 0.0000 0.0000  -1.43

VASP energy	-4.4736	eV per atom
space group	P4/mmm, No. 123
crystal system	tetragonal
calculated volume	137.5	Å³/f.u.